(1)
Entry from the Alexandria database: an optimized crystal structure of PrSm2Sb2Te2 (PBE).

Output
D(E_F), states/eV/cell: 6.21
Calculated density, g/cm3: 5.770
Final energy, eV per cell: -33.42
Formation energy from raw total energies, eV per atom: -0.6673

abc: 8.811 8.811 8.811
angles: 140.84 140.84 56.58
Fractional positions:
Pr: 0.000 0.000 0.000
Sm: 0.389 0.389 0.000
Sm: 0.611 0.611 0.000
Sb: 0.000 0.500 0.500
Sb: 0.500 0.000 0.500
Te: 0.201 0.201 0.000
Te: 0.799 0.799 0.000

(2)
Entry from the Alexandria database: an optimized crystal structure of Pr2SmSb2Te2 (PBE).

Output
D(E_F), states/eV/cell: 5.71
Calculated density, g/cm3: 5.776
Final energy, eV per cell: -34.19
Formation energy from raw total energies, eV per atom: -0.7696

abc: 8.892 8.892 8.892
angles: 141.74 141.74 55.22
Fractional positions:
Pr: 0.114 0.114 0.000
Pr: 0.886 0.886 0.000
Sm: 0.500 0.500 0.000
Sb: 0.000 0.500 0.500
Sb: 0.500 0.000 0.500
Te: 0.305 0.305 0.000
Te: 0.695 0.695 0.000

(3)
Entry from the Alexandria database: an optimized crystal structure of PrSmTh2Sb5 (PBE).

Output
D(E_F), states/eV/cell: 4.62
Calculated density, g/cm3: 6.822
Final energy, eV per cell: -46.10
Formation energy from raw total energies, eV per atom: -0.1283

abc: 5.325 5.325 11.709
angles: 90.00 90.00 90.00
Fractional positions:
Pr: 0.000 0.000 0.000
Sm: 0.000 0.000 0.500
Th: 0.500 0.500 0.304
Th: 0.500 0.500 0.696
Sb: 0.000 0.000 0.251
Sb: 0.000 0.000 0.749
Sb: 0.000 0.500 0.500
Sb: 0.500 0.000 0.500
Sb: 0.500 0.500 0.000

(4)
Entry from the Alexandria database: an optimized crystal structure of Pr2SmTh3Sb6 (PBE).

Output
D(E_F), states/eV/cell: 6.17
Calculated density, g/cm3: 7.895
Final energy, eV per cell: -74.00
Formation energy from raw total energies, eV per atom: -1.0605

abc: 10.106 10.106 9.024
angles: 102.92 102.92 25.84
Fractional positions:
Pr: 0.166 0.166 0.333
Pr: 0.834 0.834 0.667
Sm: 0.500 0.500 0.000
Th: 0.167 0.167 0.833
Th: 0.500 0.500 0.500
Th: 0.833 0.833 0.167
Sb: 0.001 0.001 0.752
Sb: 0.334 0.334 0.415
Sb: 0.334 0.334 0.920
Sb: 0.666 0.666 0.080
Sb: 0.666 0.666 0.585
Sb: 0.999 0.999 0.248

(5)
Entry from the Alexandria database: an optimized crystal structure of Pr3SmTh2Sb6 (PBE).

Output
D(E_F), states/eV/cell: 4.85
Calculated density, g/cm3: 7.456
Final energy, eV per cell: -71.98
Formation energy from raw total energies, eV per atom: -1.1121

abc: 10.126 10.126 9.050
angles: 103.04 103.04 25.86
Fractional positions:
Pr: 0.000 0.000 0.000
Pr: 0.334 0.334 0.666
Pr: 0.666 0.666 0.334
Sm: 0.000 0.000 0.500
Th: 0.335 0.335 0.169
Th: 0.665 0.665 0.831
Sb: 0.165 0.165 0.585
Sb: 0.168 0.168 0.081
Sb: 0.499 0.499 0.253
Sb: 0.501 0.501 0.747
Sb: 0.832 0.832 0.919
Sb: 0.835 0.835 0.415

(6)
Entry from the Alexandria database: an optimized crystal structure of PrSmTh2Sb4 (PBE).

Output
D(E_F), states/eV/cell: 4.57
Calculated density, g/cm3: 7.949
Final energy, eV per cell: -49.29
Formation energy from raw total energies, eV per atom: -1.0572

abc: 7.801 4.516 7.819
angles: 90.00 109.59 90.00
Fractional positions:
Pr: 0.000 0.000 0.000
Sm: 0.000 0.500 0.500
Th: 0.500 0.000 0.500
Th: 0.500 0.500 0.000
Sb: 0.250 0.000 0.748
Sb: 0.251 0.500 0.253
Sb: 0.749 0.500 0.747
Sb: 0.750 0.000 0.252

(7)
Entry from the Alexandria database: an optimized crystal structure of PrSm2Th3Sb6 (PBE).

Output
D(E_F), states/eV/cell: 6.16
Calculated density, g/cm3: 8.008
Final energy, eV per cell: -73.89
Formation energy from raw total energies, eV per atom: -1.0565

abc: 10.073 10.073 8.992
angles: 102.85 102.85 25.86
Fractional positions:
Pr: 0.000 0.000 0.000
Sm: 0.333 0.333 0.667
Sm: 0.667 0.667 0.333
Th: 0.000 0.000 0.500
Th: 0.334 0.334 0.167
Th: 0.666 0.666 0.833
Sb: 0.167 0.167 0.582
Sb: 0.168 0.168 0.085
Sb: 0.499 0.499 0.747
Sb: 0.501 0.501 0.253
Sb: 0.832 0.832 0.915
Sb: 0.833 0.833 0.418

(8)
Entry from the Alexandria database: an optimized crystal structure of PrSm3Th2Sb6 (PBE).

Output
D(E_F), states/eV/cell: 4.77
Calculated density, g/cm3: 7.689
Final energy, eV per cell: -71.77
Formation energy from raw total energies, eV per atom: -1.1047

abc: 10.051 10.051 8.984
angles: 102.82 102.82 25.89
Fractional positions:
Pr: 0.000 0.000 0.000
Sm: 0.000 0.000 0.500
Sm: 0.335 0.335 0.166
Sm: 0.665 0.665 0.834
Th: 0.334 0.334 0.669
Th: 0.666 0.666 0.331
Sb: 0.167 0.167 0.584
Sb: 0.168 0.168 0.083
Sb: 0.500 0.500 0.254
Sb: 0.500 0.500 0.746
Sb: 0.832 0.832 0.917
Sb: 0.833 0.833 0.416

(9)
Entry from the Alexandria database: an optimized crystal structure of PrSm2TmSb4 (PBE).

Output
D(E_F), states/eV/cell: 1.03
Calculated density, g/cm3: 7.255
Final energy, eV per cell: -44.33
Formation energy from raw total energies, eV per atom: -1.1433

abc: 7.724 4.465 7.729
angles: 90.00 109.49 90.00
Fractional positions:
Pr: 0.000 0.000 0.000
Sm: 0.000 0.500 0.500
Sm: 0.500 0.000 0.500
Tm: 0.500 0.500 0.000
Sb: 0.257 0.500 0.251
Sb: 0.258 0.000 0.754
Sb: 0.742 0.000 0.246
Sb: 0.743 0.500 0.749

(10)
Entry from the Alexandria database: an optimized crystal structure of PrSmTm2Sb4 (PBE).

Output
D(E_F), states/eV/cell: 1.11
Calculated density, g/cm3: 7.550
Final energy, eV per cell: -43.89
Formation energy from raw total energies, eV per atom: -1.1200

abc: 7.658 4.433 7.672
angles: 90.00 109.51 90.00
Fractional positions:
Pr: 0.000 0.000 0.000
Sm: 0.000 0.500 0.500
Tm: 0.500 0.000 0.500
Tm: 0.500 0.500 0.000
Sb: 0.261 0.000 0.751
Sb: 0.263 0.500 0.257
Sb: 0.737 0.500 0.743
Sb: 0.739 0.000 0.249

(11)
Entry from the Alexandria database: an optimized crystal structure of PrSm2Y3Sb6 (PBE).

Output
D(E_F), states/eV/cell: 2.17
Calculated density, g/cm3: 6.406
Final energy, eV per cell: -72.40
Formation energy from raw total energies, eV per atom: -1.1712

abc: 7.706 7.706 7.694
angles: 99.60 99.60 120.00
Fractional positions:
Pr: 0.000 0.000 0.000
Sm: 0.333 0.667 0.000
Sm: 0.667 0.333 0.000
Y: 0.166 0.834 0.500
Y: 0.500 0.500 0.500
Y: 0.834 0.166 0.500
Sb: 0.086 0.422 0.257
Sb: 0.251 0.251 0.744
Sb: 0.422 0.086 0.257
Sb: 0.578 0.914 0.743
Sb: 0.749 0.749 0.256
Sb: 0.914 0.578 0.743

(12)
Entry from the Alexandria database: an optimized crystal structure of PrSnSb2 (PBE).

Output
D(E_F), states/eV/cell: 2.49
Calculated density, g/cm3: 6.170
Final energy, eV per cell: -16.48
Formation energy from raw total energies, eV per atom: 0.1368
Excess energy over the best structure of this formula in the dataset, eV/f.u.: 2.722

abc: 10.510 10.510 10.510
angles: 21.40 21.40 21.40
Fractional positions:
Pr: 0.000 0.000 0.000
Sn: 0.500 0.500 0.500
Sb: 0.102 0.102 0.102
Sb: 0.898 0.898 0.898

(13)
Entry from the Alexandria database: an optimized crystal structure of PrSnSb (PBE).

Output
D(E_F), states/eV/cell: 6.74
Calculated density, g/cm3: 6.388
Final energy, eV per cell: -57.18
Formation energy from raw total energies, eV per atom: -0.4634
Excess energy over the best structure of this formula in the dataset, eV/f.u.: 0.064

abc: 9.823 8.839 7.371
angles: 73.97 59.87 46.16
Fractional positions:
Pr: 0.070 0.070 0.680
Pr: 0.320 0.320 0.930
Pr: 0.680 0.680 0.070
Pr: 0.930 0.930 0.320
Sn: 0.000 0.500 0.500
Sn: 0.500 0.000 0.500
Sn: 0.500 0.500 0.000
Sn: 0.500 0.500 0.500
Sb: 0.047 0.703 0.703
Sb: 0.297 0.953 0.953
Sb: 0.703 0.047 0.047
Sb: 0.953 0.297 0.297

(14)
Entry from the Alexandria database: an optimized crystal structure of Pr5Sn2Sb (PBE).

Output
D(E_F), states/eV/cell: 17.70
Calculated density, g/cm3: 6.942
Final energy, eV per cell: -83.76
Formation energy from raw total energies, eV per atom: -0.7318
Excess energy over the best structure of this formula in the dataset, eV/f.u.: 0.000

abc: 9.317 9.317 9.317
angles: 126.21 126.21 79.55
Fractional positions:
Pr: 0.000 0.000 0.000
Pr: 0.014 0.514 0.827
Pr: 0.187 0.014 0.500
Pr: 0.313 0.813 0.827
Pr: 0.486 0.313 0.500
Pr: 0.500 0.500 0.000
Pr: 0.514 0.687 0.500
Pr: 0.687 0.187 0.173
Pr: 0.813 0.986 0.500
Pr: 0.986 0.486 0.173
Sn: 0.135 0.365 0.500
Sn: 0.365 0.865 0.231
Sn: 0.635 0.135 0.769
Sn: 0.865 0.635 0.500
Sb: 0.250 0.250 0.000
Sb: 0.750 0.750 0.000

(15)
Entry from the Alexandria database: an optimized crystal structure of PrSnSb (PBE).

Output
D(E_F), states/eV/cell: 1.58
Calculated density, g/cm3: 6.994
Final energy, eV per cell: -14.36
Formation energy from raw total energies, eV per atom: -0.4848
Excess energy over the best structure of this formula in the dataset, eV/f.u.: 0.000

abc: 5.128 5.128 3.977
angles: 90.00 90.00 120.00
Fractional positions:
Pr: 0.000 0.000 0.000
Sn: 0.333 0.667 0.500
Sb: 0.667 0.333 0.500

(16)
Entry from the Alexandria database: an optimized crystal structure of Pr10Sn3Sb3 (PBE).

Output
D(E_F), states/eV/cell: 18.74
Calculated density, g/cm3: 6.864
Final energy, eV per cell: -85.40
Formation energy from raw total energies, eV per atom: -0.8266

abc: 9.418 9.418 6.710
angles: 90.00 90.00 120.00
Fractional positions:
Pr: 0.000 0.246 0.000
Pr: 0.000 0.753 0.500
Pr: 0.246 0.000 0.000
Pr: 0.247 0.247 0.500
Pr: 0.333 0.667 0.249
Pr: 0.333 0.667 0.751
Pr: 0.667 0.333 0.249
Pr: 0.667 0.333 0.751
Pr: 0.753 0.000 0.500
Pr: 0.754 0.754 0.000
Sn: 0.000 0.390 0.500
Sn: 0.390 0.000 0.500
Sn: 0.610 0.610 0.500
Sb: 0.000 0.612 0.000
Sb: 0.388 0.388 0.000
Sb: 0.612 0.000 0.000

(17)
Entry from the Alexandria database: an optimized crystal structure of Pr5SnSb4 (PBE).

Output
D(E_F), states/eV/cell: 4.91
Calculated density, g/cm3: 6.505
Final energy, eV per cell: -55.02
Formation energy from raw total energies, eV per atom: -1.0635

abc: 7.892 7.892 7.892
angles: 99.59 99.59 131.81
Fractional positions:
Pr: 0.000 0.000 0.000
Pr: 0.198 0.601 0.799
Pr: 0.399 0.198 0.597
Pr: 0.601 0.802 0.403
Pr: 0.802 0.399 0.201
Sn: 0.500 0.500 0.000
Sb: 0.100 0.300 0.400
Sb: 0.300 0.900 0.201
Sb: 0.700 0.100 0.799
Sb: 0.900 0.700 0.600

(18)
Entry from the Alexandria database: an optimized crystal structure of Pr3SnSb2 (PBE).

Output
D(E_F), states/eV/cell: 3.01
Calculated density, g/cm3: 6.498
Final energy, eV per cell: -32.48
Formation energy from raw total energies, eV per atom: -0.9828

abc: 7.952 7.952 7.952
angles: 147.15 132.13 59.28
Fractional positions:
Pr: 0.000 0.000 0.000
Pr: 0.330 0.330 0.000
Pr: 0.670 0.670 0.000
Sn: 0.500 0.000 0.500
Sb: 0.167 0.667 0.500
Sb: 0.833 0.333 0.500

(19)
Entry from the Alexandria database: an optimized crystal structure of PrSn2Sb (PBE).

Output
D(E_F), states/eV/cell: 2.20
Calculated density, g/cm3: 7.453
Final energy, eV per cell: -18.94
Formation energy from raw total energies, eV per atom: -0.5076
Excess energy over the best structure of this formula in the dataset, eV/f.u.: 0.000

abc: 4.708 4.708 5.027
angles: 90.00 90.00 90.00
Fractional positions:
Pr: 0.000 0.000 0.000
Sn: 0.000 0.500 0.500
Sn: 0.500 0.000 0.500
Sb: 0.500 0.500 0.000

(20)
Entry from the Alexandria database: an optimized crystal structure of Pr8SnSb2 (PBE).

Output
D(E_F), states/eV/cell: 12.62
Calculated density, g/cm3: 6.661
Final energy, eV per cell: -55.97
Formation energy from raw total energies, eV per atom: -0.4990

abc: 10.244 10.244 7.532
angles: 99.09 99.09 28.43
Fractional positions:
Pr: 0.017 0.017 0.257
Pr: 0.217 0.217 0.852
Pr: 0.337 0.337 0.477
Pr: 0.404 0.404 0.011
Pr: 0.596 0.596 0.989
Pr: 0.663 0.663 0.523
Pr: 0.783 0.783 0.148
Pr: 0.983 0.983 0.743
Sn: 0.500 0.500 0.500
Sb: 0.180 0.180 0.264
Sb: 0.820 0.820 0.736

(21)
Entry from the Alexandria database: an optimized crystal structure of PrSn2Sb3 (PBE).

Output
D(E_F), states/eV/cell: 5.28
Calculated density, g/cm3: 6.758
Final energy, eV per cell: -54.56
Formation energy from raw total energies, eV per atom: -0.3550

abc: 4.370 11.475 7.287
angles: 90.00 90.00 90.00
Fractional positions:
Pr: 0.000 0.123 0.000
Pr: 0.000 0.877 0.500
Sn: 0.000 0.178 0.451
Sn: 0.000 0.822 0.951
Sn: 0.500 0.455 0.512
Sn: 0.500 0.545 0.012
Sb: 0.000 0.361 0.731
Sb: 0.000 0.639 0.231
Sb: 0.500 0.051 0.682
Sb: 0.500 0.305 0.170
Sb: 0.500 0.695 0.670
Sb: 0.500 0.949 0.182

(22)
Entry from the Alexandria database: an optimized crystal structure of PrSnSb (PBE).

Output
D(E_F), states/eV/cell: 1.27
Calculated density, g/cm3: 6.457
Final energy, eV per cell: -14.00
Formation energy from raw total energies, eV per atom: -0.3641
Excess energy over the best structure of this formula in the dataset, eV/f.u.: 0.362

abc: 4.161 4.936 4.936
angles: 75.35 90.00 90.00
Fractional positions:
Pr: 0.000 0.000 0.000
Sn: 0.000 0.399 0.399
Sb: 0.500 0.655 0.655

(23)
Entry from the Alexandria database: an optimized crystal structure of PrSnSb2 (PBE).

Output
D(E_F), states/eV/cell: 1.32
Calculated density, g/cm3: 6.288
Final energy, eV per cell: -18.54
Formation energy from raw total energies, eV per atom: -0.3774
Excess energy over the best structure of this formula in the dataset, eV/f.u.: 0.665

abc: 6.807 6.807 6.807
angles: 42.98 42.98 42.98
Fractional positions:
Pr: 0.000 0.000 0.000
Sn: 0.183 0.183 0.183
Sb: 0.414 0.414 0.414
Sb: 0.578 0.578 0.578